(1)
LiMnIn: relaxed, PBE.

a b c (Å): 4.9674 4.9674 4.9674
angles (deg): 145.71 128.91 62.98
Last column: magnetic moment on the atom in μB.
Positions (direct):
1 Li 0.3336 0.3336 0.0000  -0.01
2 In 0.0028 0.0028 0.0000  -0.09
3 Mn 0.6636 0.6636 0.0000  3.64

Symmetry: Imm2
Calculated total energy (eV/atom): -4.501
Energy of formation from the pure elements (eV/atom): 0.11
Calculated volume (Å³ per cell): 53.1


(2)
TlCd2Au: relaxed, PBE.

a b c (Å): 4.0782 5.6829 9.0260
angles (deg): 89.98 104.84 90.00
Positions (direct):
1 Cd 0.6359 0.7499 0.7257
2 Cd 0.3641 0.2501 0.2743
3 Cd 0.0000 0.5000 0.5000
4 Cd 0.0000 0.0000 0.5000
5 Au 0.3952 0.7501 0.3169
6 Au 0.6048 0.2499 0.6831
7 Tl 0.2369 0.2500 0.9234
8 Tl 0.7631 0.7500 0.0766

Symmetry: P2_1/m
Calculated total energy (eV/atom): -1.920
Energy of formation from the pure elements (eV/atom): -0.05
Calculated volume (Å³ per cell): 202.2


> Which of these has the highest calculated volume?

TlCd2Au